Computed, not measured: RuAu3 at its PBEsol-relaxed geometry at the SCAN level of DFT.

Output
Its calculated density is 17.7 g/cm³. As for the energy relative to the elements: 0.354 eV per atom. The value obtained for the size of the total moment is 0.001 μB/atom. Its total energy is -60.220 eV/atom.

Cell lengths 4.8658, 4.8658, 2.7391 Å; angles 90.00, 90.00, 90.00 degrees
Last column: nearest neighbours and their distance in Å.
Space group P4/mmm (No. 123)
Inequivalent atoms, fractional coordinates:
Ru (0.0000, 0.0000, 0.0000) x1  2 Ru 2.74, 8 Au 2.79
Au (0.0000, 0.5000, 0.5000) x2  6 Au 2.74-2.79, 4 Ru 2.79
Au (0.5000, 0.5000, 0.0000) x1  10 Au 2.74-2.79